Entry 1:
Compound: LaYB3
Source: Alexandria via LeMat-Bulk
Functional: GGA-PBE
Structure: optimized geometry

Excess energy over the best structure of this formula in the dataset = 0.371 eV/atom
ΔE_f = 1.52 eV/atom
Volume = 19.66 Å³ per atom
D(E_F) = 0.90 states/eV per atom

a b c (Å): 4.6150 4.6150 4.6150
angles (deg): 90.00 90.00 90.00
Last column: nearest neighbours and their distance in Å.
Fractional coordinates of all 5 atoms:
Y1 0.5000 0.5000 0.5000  12 B 3.26
B1 0.0000 0.5000 0.0000  2 La 2.31
B2 0.0000 0.0000 0.5000  2 La 2.31
B3 0.5000 0.0000 0.0000  2 La 2.31
La1 0.0000 0.0000 0.0000  6 B 2.31



Entry 2:
Compound: LaYB12
Source: Alexandria via LeMat-Bulk
Functional: GGA-PBE
Structure: optimized geometry

ΔE_f = -0.48 eV/atom
Volume = 10.05 Å³ per atom
D(E_F) = 0.11 states/eV per atom

a b c (Å): 4.1290 4.1290 8.2555
angles (deg): 90.00 90.00 90.00
Last column: nearest neighbours and their distance in Å.
Fractional coordinates of all 14 atoms:
La1 0.0000 0.0000 0.5000  24 B 3.04-3.05
Y1 0.0000 0.0000 0.0000  24 B 3.02-3.03
B1 0.1994 0.5000 0.2478  5 B 1.65-1.76
B2 0.1994 0.5000 0.7522  5 B 1.65-1.76
B3 0.5000 0.5000 0.3993  5 B 1.66-1.76
B4 0.5000 0.5000 0.9015  5 B 1.63-1.75
B5 0.5000 0.1994 0.2478  5 B 1.65-1.76
B6 0.5000 0.1994 0.7522  5 B 1.65-1.76
B7 0.5000 0.5000 0.0985  5 B 1.63-1.75
B8 0.5000 0.5000 0.6007  5 B 1.66-1.76
B9 0.5000 0.8006 0.2478  5 B 1.65-1.76
B10 0.5000 0.8006 0.7522  5 B 1.65-1.76
B11 0.8006 0.5000 0.2478  5 B 1.65-1.76
B12 0.8006 0.5000 0.7522  5 B 1.65-1.76



Entry 3:
Compound: La2YB
Source: Alexandria via LeMat-Bulk
Functional: GGA-PBE
Structure: optimized geometry

ΔE_f = 0.27 eV/atom
Volume = 27.69 Å³ per atom
D(E_F) = 0.39 states/eV per atom

a b c (Å): 8.9078 8.9078 6.8896
angles (deg): 49.72 49.72 90.00
Last column: nearest neighbours and their distance in Å.
Fractional coordinates of all 8 atoms:
Y1 0.0000 0.0000 0.0000  2 B 2.79
Y2 0.7500 0.2500 0.5000  2 B 2.79
B1 0.5000 0.5000 0.0000  4 La 2.71, 2 Y 2.79
B2 0.2500 0.7500 0.5000  4 La 2.71, 2 Y 2.79
La1 0.5297 0.1250 0.2500  2 B 2.71
La2 0.2203 0.6250 0.2500  2 B 2.71
La3 0.3750 0.4703 0.7500  2 B 2.71
La4 0.8750 0.7797 0.7500  2 B 2.71



Entry 4:
Compound: LaYB2
Source: Alexandria via LeMat-Bulk
Functional: GGA-PBE
Structure: optimized geometry

Excess energy over the best structure of this formula in the dataset = 0.225 eV/atom
ΔE_f = 0.58 eV/atom
Volume = 21.81 Å³ per atom
D(E_F) = 1.28 states/eV per atom

a b c (Å): 6.8353 6.8353 6.1075
angles (deg): 55.97 55.97 90.00
Last column: nearest neighbours and their distance in Å.
Fractional coordinates of all 8 atoms:
Y1 0.5000 0.5000 0.0000  4 B 2.54
Y2 0.2500 0.7500 0.5000  4 B 2.54
B1 0.6130 0.1250 0.2500  2 Y 2.54, 2 La 2.65
B2 0.1370 0.6250 0.2500  2 Y 2.54, 2 La 2.65
B3 0.3750 0.3870 0.7500  2 Y 2.54, 2 La 2.65
B4 0.8750 0.8630 0.7500  2 Y 2.54, 2 La 2.65
La1 0.0000 0.0000 0.0000  4 B 2.65
La2 0.7500 0.2500 0.5000  4 B 2.65



Q: Which value of D(E_F) does entry 3 give?
A: 0.39 states/eV per atom



Q: The lowest ΔE_f belongs to which entry?
A: LaYB12